# BiMoPCl2 (PBE-GGA, relaxed)
data_BiMoPCl2
_cell_length_a 5.283
_cell_length_b 5.283
_cell_length_c 5.523
_cell_angle_alpha 90.00
_cell_angle_beta 90.00
_cell_angle_gamma 90.00
_space_group_name_H-M_alt 'P 4/m m m'
_space_group_IT_number 123
_space_group_name_Hall '-P 4 2'
loop_
_atom_site_label
_atom_site_type_symbol
_atom_site_fract_x
_atom_site_fract_y
_atom_site_fract_z
Bi1 Bi 0.000 0.000 0.000
Mo1 Mo 0.500 0.500 0.500
P1 P 0.000 0.000 0.500
Cl1 Cl 0.000 0.500 0.000
# ΔE to the lowest computed polymorph, eV per atom: 0.669

---

# BiMoPCl2 (PBE-GGA, relaxed)
data_BiMoPCl2
_cell_length_a 4.826
_cell_length_b 4.826
_cell_length_c 4.953
_cell_angle_alpha 90.00
_cell_angle_beta 90.00
_cell_angle_gamma 90.00
_space_group_name_H-M_alt 'P 4/m m m'
_space_group_IT_number 123
_space_group_name_Hall '-P 4 2'
loop_
_atom_site_label
_atom_site_type_symbol
_atom_site_fract_x
_atom_site_fract_y
_atom_site_fract_z
Bi1 Bi 0.000 0.000 0.000
Mo1 Mo 0.500 0.500 0.500
P1 P 0.500 0.500 0.000
Cl1 Cl 0.000 0.500 0.500
# ΔE to the lowest computed polymorph, eV per atom: 0.000

---

## BiMoPd2Cl (PBE-GGA)

Data for a geometry-optimized BiMoPd2Cl structure.

CIF file:
```
data_BiMoPd2Cl
_cell_length_a 5.115
_cell_length_b 5.115
_cell_length_c 5.342
_cell_angle_alpha 90.00
_cell_angle_beta 90.00
_cell_angle_gamma 90.00
_space_group_name_H-M_alt 'P 4/m m m'
_space_group_IT_number 123
_space_group_name_Hall '-P 4 2'
loop_
_atom_site_label
_atom_site_type_symbol
_atom_site_fract_x
_atom_site_fract_y
_atom_site_fract_z
Bi1 Bi 0.000 0.000 0.000
Mo1 Mo 0.500 0.500 0.500
Pd1 Pd 0.000 0.500 0.000
Cl1 Cl 0.000 0.000 0.500
```

---

## BiMoPt2Cl (PBE-GGA)

Data for a geometry-optimized BiMoPt2Cl structure.

CIF file:
```
data_BiMoPt2Cl
_cell_length_a 4.799
_cell_length_b 4.799
_cell_length_c 5.613
_cell_angle_alpha 90.00
_cell_angle_beta 90.00
_cell_angle_gamma 90.00
_space_group_name_H-M_alt 'P 4/m m m'
_space_group_IT_number 123
_space_group_name_Hall '-P 4 2'
loop_
_atom_site_label
_atom_site_type_symbol
_atom_site_fract_x
_atom_site_fract_y
_atom_site_fract_z
Bi1 Bi 0.000 0.000 0.000
Mo1 Mo 0.000 0.000 0.500
Pt1 Pt 0.000 0.500 0.500
Cl1 Cl 0.500 0.500 0.000
```

---

## Rb2BiMoCl (PBE-GGA)

Data for a geometry-optimized Rb2BiMoCl structure.

CIF file:
```
data_Rb2BiMoCl
_cell_length_a 7.293
_cell_length_b 7.293
_cell_length_c 5.578
_cell_angle_alpha 90.00
_cell_angle_beta 90.00
_cell_angle_gamma 90.00
_space_group_name_H-M_alt 'P 4/m m m'
_space_group_IT_number 123
_space_group_name_Hall '-P 4 2'
loop_
_atom_site_label
_atom_site_type_symbol
_atom_site_fract_x
_atom_site_fract_y
_atom_site_fract_z
Rb1 Rb 0.000 0.500 0.000
Bi1 Bi 0.000 0.000 0.000
Mo1 Mo 0.500 0.500 0.500
Cl1 Cl 0.000 0.000 0.500
```

---

## ReBi2MoCl (PBE-GGA)

Data for a geometry-optimized ReBi2MoCl structure.

CIF file:
```
data_ReBi2MoCl
_cell_length_a 5.390
_cell_length_b 5.390
_cell_length_c 4.315
_cell_angle_alpha 90.00
_cell_angle_beta 90.00
_cell_angle_gamma 90.00
_space_group_name_H-M_alt 'P 4/m m m'
_space_group_IT_number 123
_space_group_name_Hall '-P 4 2'
loop_
_atom_site_label
_atom_site_type_symbol
_atom_site_fract_x
_atom_site_fract_y
_atom_site_fract_z
Re1 Re 0.000 0.000 0.000
Bi1 Bi 0.000 0.500 0.500
Mo1 Mo 0.500 0.500 0.000
Cl1 Cl 0.500 0.500 0.500
```

---

## Bi2MoRhCl (PBE-GGA)

Data for a geometry-optimized Bi2MoRhCl structure.

CIF file:
```
data_Bi2MoRhCl
_cell_length_a 5.307
_cell_length_b 5.307
_cell_length_c 5.096
_cell_angle_alpha 90.00
_cell_angle_beta 90.00
_cell_angle_gamma 90.00
_space_group_name_H-M_alt 'P 4/m m m'
_space_group_IT_number 123
_space_group_name_Hall '-P 4 2'
loop_
_atom_site_label
_atom_site_type_symbol
_atom_site_fract_x
_atom_site_fract_y
_atom_site_fract_z
Bi1 Bi 0.000 0.500 0.000
Mo1 Mo 0.000 0.000 0.500
Rh1 Rh 0.000 0.000 0.000
Cl1 Cl 0.500 0.500 0.500
```

---

## SiBiMoCl2 (PBE-GGA)

Data for a geometry-optimized SiBiMoCl2 structure.

CIF file:
```
data_SiBiMoCl2
_cell_length_a 4.644
_cell_length_b 4.644
_cell_length_c 5.931
_cell_angle_alpha 90.00
_cell_angle_beta 90.00
_cell_angle_gamma 90.00
_space_group_name_H-M_alt 'P 4/m m m'
_space_group_IT_number 123
_space_group_name_Hall '-P 4 2'
loop_
_atom_site_label
_atom_site_type_symbol
_atom_site_fract_x
_atom_site_fract_y
_atom_site_fract_z
Si1 Si 0.000 0.000 0.000
Bi1 Bi 0.000 0.000 0.500
Mo1 Mo 0.500 0.500 0.500
Cl1 Cl 0.000 0.500 0.000
```

---

# TcBi2MoCl (PBE-GGA, relaxed)
data_TcBi2MoCl
_cell_length_a 5.369
_cell_length_b 5.369
_cell_length_c 4.832
_cell_angle_alpha 90.00
_cell_angle_beta 90.00
_cell_angle_gamma 90.00
_space_group_name_H-M_alt 'P 4/m m m'
_space_group_IT_number 123
_space_group_name_Hall '-P 4 2'
loop_
_atom_site_label
_atom_site_type_symbol
_atom_site_fract_x
_atom_site_fract_y
_atom_site_fract_z
Tc1 Tc 0.000 0.000 0.000
Bi1 Bi 0.000 0.500 0.000
Mo1 Mo 0.000 0.000 0.500
Cl1 Cl 0.500 0.500 0.500
# ΔE to the lowest computed polymorph, eV per atom: 0.000

---

# TcBi2MoCl (PBE-GGA, relaxed)
data_TcBi2MoCl
_cell_length_a 5.451
_cell_length_b 5.451
_cell_length_c 4.606
_cell_angle_alpha 90.00
_cell_angle_beta 90.00
_cell_angle_gamma 90.00
_space_group_name_H-M_alt 'P 4/m m m'
_space_group_IT_number 123
_space_group_name_Hall '-P 4 2'
loop_
_atom_site_label
_atom_site_type_symbol
_atom_site_fract_x
_atom_site_fract_y
_atom_site_fract_z
Tc1 Tc 0.000 0.000 0.000
Bi1 Bi 0.000 0.500 0.000
Mo1 Mo 0.500 0.500 0.500
Cl1 Cl 0.000 0.000 0.500
# ΔE to the lowest computed polymorph, eV per atom: 0.219

---

## Zn2BiMoCl (PBE-GGA)

Data for a geometry-optimized Zn2BiMoCl structure.

CIF file:
```
data_Zn2BiMoCl
_cell_length_a 4.851
_cell_length_b 4.851
_cell_length_c 5.467
_cell_angle_alpha 90.00
_cell_angle_beta 90.00
_cell_angle_gamma 90.00
_space_group_name_H-M_alt 'P 4/m m m'
_space_group_IT_number 123
_space_group_name_Hall '-P 4 2'
loop_
_atom_site_label
_atom_site_type_symbol
_atom_site_fract_x
_atom_site_fract_y
_atom_site_fract_z
Zn1 Zn 0.000 0.500 0.000
Bi1 Bi 0.000 0.000 0.500
Mo1 Mo 0.500 0.500 0.500
Cl1 Cl 0.000 0.000 0.000
```

---

# BiNCl2 (PBE-GGA, relaxed)
data_BiNCl2
_cell_length_a 6.862
_cell_length_b 6.862
_cell_length_c 6.862
_cell_angle_alpha 90.00
_cell_angle_beta 90.00
_cell_angle_gamma 90.00
_space_group_name_H-M_alt 'F m -3 m'
_space_group_IT_number 225
_space_group_name_Hall '-F 4 2 3'
loop_
_atom_site_label
_atom_site_type_symbol
_atom_site_fract_x
_atom_site_fract_y
_atom_site_fract_z
Bi1 Bi 0.000 0.000 0.000
N1 N 0.000 0.000 0.500
Cl1 Cl 0.250 0.250 0.250
# ΔE to the lowest computed polymorph, eV per atom: 0.439

---

## BiN2Cl2 (PBE-GGA)

Data for a geometry-optimized BiN2Cl2 structure.

CIF file:
```
data_BiN2Cl2
_cell_length_a 6.701
_cell_length_b 3.890
_cell_length_c 11.699
_cell_angle_alpha 90.00
_cell_angle_beta 99.26
_cell_angle_gamma 90.00
_space_group_name_H-M_alt 'C 1 2/m 1'
_space_group_IT_number 12
_space_group_name_Hall '-C 2y'
loop_
_atom_site_label
_atom_site_type_symbol
_atom_site_fract_x
_atom_site_fract_y
_atom_site_fract_z
Bi1 Bi 0.000 0.000 0.000
N1 N 0.063 0.000 0.537
Cl1 Cl 0.048 0.500 0.170
```

---

## Bi2N2Cl3 (PBE-GGA)

Data for a geometry-optimized Bi2N2Cl3 structure.

CIF file:
```
data_Bi2N2Cl3
_cell_length_a 4.015
_cell_length_b 5.465
_cell_length_c 8.175
_cell_angle_alpha 85.78
_cell_angle_beta 89.66
_cell_angle_gamma 69.32
_space_group_name_H-M_alt 'P -1'
_space_group_IT_number 2
_space_group_name_Hall '-P 1'
loop_
_atom_site_label
_atom_site_type_symbol
_atom_site_fract_x
_atom_site_fract_y
_atom_site_fract_z
Bi1 Bi 0.064 0.372 0.276
N1 N 0.482 0.536 0.570
Cl1 Cl 0.203 0.086 0.704
Cl2 Cl 0.500 0.500 0.000
```

---

Number 1: DFT total energy -3.92 eV/atom, ΔE_f (raw) 846 meV per atom. Number 2: DFT total energy -4.59 eV/atom, ΔE_f (raw) 177 meV per atom. Number 3: DFT total energy -4.33 eV/atom, ΔE_f (raw) 1063 meV per atom. Number 4: DFT total energy -4.87 eV/atom, ΔE_f (raw) 857 meV per atom. Number 5: DFT total energy -2.94 eV/atom, ΔE_f (raw) 762 meV per atom. Number 6: DFT total energy -4.79 eV/atom, ΔE_f (raw) 1786 meV per atom. Number 7: DFT total energy -4.78 eV/atom, ΔE_f (raw) 779 meV per atom. Number 8: DFT total energy -4.18 eV/atom, ΔE_f (raw) 591 meV per atom. Number 9: DFT total energy -5.34 eV/atom, ΔE_f (raw) 823 meV per atom. Number 10: DFT total energy -5.12 eV/atom, ΔE_f (raw) 1042 meV per atom. Number 11: DFT total energy -2.69 eV/atom, ΔE_f (raw) 1129 meV per atom. Number 12: DFT total energy -3.16 eV/atom, ΔE_f (raw) 817 meV per atom. Number 13: DFT total energy -5.23 eV/atom, ΔE_f (raw) -389 meV per atom. Number 14: DFT total energy -4.50 eV/atom, ΔE_f (raw) -217 meV per atom.